Here is an optimized crystal structure of Y4CuOs from Alexandria via LeMat-Bulk. Energies are from PBE.

Cell lengths 6.8838, 6.9069, 6.9162 Å; angles 90.00, 92.01, 90.00 degrees
Last column: nearest neighbours and their distance in Å.
Fractional positions:
Y 0.1544 0.1614 0.1715  2 Os 2.78-2.81, 1 Cu 2.92
Y 0.1544 0.3386 0.6715  2 Os 2.78-2.81, 1 Cu 2.92
Y 0.3324 0.6609 0.1503  1 Os 2.72, 2 Cu 2.83-2.87
Y 0.3324 0.8391 0.6503  1 Os 2.72, 2 Cu 2.83-2.87
Y 0.6676 0.1609 0.3497  1 Os 2.72, 2 Cu 2.83-2.87
Y 0.6676 0.3391 0.8497  1 Os 2.72, 2 Cu 2.83-2.87
Y 0.8456 0.6614 0.3285  2 Os 2.78-2.81, 1 Cu 2.92
Y 0.8456 0.8386 0.8285  2 Os 2.78-2.81, 1 Cu 2.92
Cu 0.5000 0.0000 0.0000  6 Y 2.83-2.92
Cu 0.5000 0.5000 0.5000  6 Y 2.83-2.92
Os 0.0000 0.0000 0.5000  6 Y 2.72-2.81
Os 0.0000 0.5000 0.0000  6 Y 2.72-2.81

## Properties
Its spin magnetization is 0.000 μB/atom. As for the space group: P2_1/c. The value obtained for the relative energy among the computed polymorphs is 0.00 eV/f.u. The total DFT energy (no corrections) comes out at -6.963 eV per atom. For the density of states at the Fermi level, the calculation gives 10.8 states/eV/cell. The value obtained for the formation energy is -2.30 kcal/mol of atoms.



Here is an optimized crystal structure of ZrCl from Alexandria via LeMat-Bulk. Energies are from PBE.

Cell lengths 7.5519, 7.5519, 7.5519 Å; angles 92.86, 92.86, 154.18 degrees
Last column: nearest neighbours and their distance in Å.
Fractional positions:
Zr 0.1019 0.6453 0.7472  4 Cl 2.68-2.80
Zr 0.3547 0.1019 0.4566  4 Cl 2.68-2.80
Zr 0.6453 0.8981 0.5434  4 Cl 2.68-2.80
Zr 0.8981 0.3547 0.2528  4 Cl 2.68-2.80
Cl 0.1054 0.2027 0.3081  4 Zr 2.68-2.80
Cl 0.2027 0.8946 0.0973  4 Zr 2.68-2.80
Cl 0.7973 0.1054 0.9027  4 Zr 2.68-2.80
Cl 0.8946 0.7973 0.6919  4 Zr 2.68-2.80

## Properties
Its spin magnetization is 0.000 μB/atom. As for the space group: I4/m. The value obtained for the formation energy (no corrections) is -0.965 eV per atom. The total DFT energy (no corrections) comes out at -6.162 eV per atom. For the density of states at the Fermi level, the calculation gives 4.1 states/eV/cell.



Here is an optimized crystal structure of MgCo2Tc from Alexandria via LeMat-Bulk. Energies are from PBE.

Cell lengths 5.4128, 5.4128, 5.4128 Å; angles 103.68, 103.68, 121.79 degrees
Last column: nearest neighbours and their distance in Å.
Fractional positions:
Mg 0.0000 0.0000 0.0000  4 Co 2.63, 2 Tc 2.63
Mg 0.7500 0.2500 0.5000  4 Co 2.63, 2 Tc 2.63
Co 0.1617 0.1250 0.5367  2 Tc 2.29
Co 0.3750 0.8383 0.9633  2 Tc 2.29
Co 0.5883 0.6250 0.4633  2 Tc 2.29
Co 0.8750 0.4117 0.0367  2 Tc 2.29
Tc 0.2500 0.7500 0.5000  4 Co 2.29
Tc 0.5000 0.5000 0.0000  4 Co 2.29

## Properties
Its spin magnetization is 0.396 μB/atom. As for the space group: I-42d. The total DFT energy (no corrections) comes out at -5.919 eV per atom. For the density of states at the Fermi level, the calculation gives 12.2 states/eV/cell. The value obtained for the formation energy is 14.39 kcal/mol of atoms.



Here is an optimized crystal structure of Te2PF2 from Alexandria via LeMat-Bulk. Energies are from PBE.

Cell lengths 7.5600, 7.5600, 3.0304 Å; angles 90.00, 90.00, 90.00 degrees
Last column: nearest neighbours and their distance in Å.
Fractional positions:
Te 0.1427 0.3573 0.0000  6 F 2.53-2.80
Te 0.3573 0.8573 0.0000  6 F 2.53-2.80
Te 0.6427 0.1427 0.0000  6 F 2.53-2.80
Te 0.8573 0.6427 0.0000  6 F 2.53-2.80
P 0.0000 0.0000 0.0000  4 Te 2.91, 2 P 3.03, 8 F 3.20
P 0.5000 0.5000 0.0000  4 Te 2.91, 2 P 3.03, 8 F 3.20
F 0.1674 0.6674 0.5000  6 Te 2.53-2.80
F 0.3326 0.1674 0.5000  6 Te 2.53-2.80
F 0.6674 0.8326 0.5000  6 Te 2.53-2.80
F 0.8326 0.3326 0.5000  6 Te 2.53-2.80

## Properties
Its spin magnetization is 0.000 μB/atom. As for the space group: P4/mbm. The value obtained for the formation energy (no corrections) is -0.495 eV per atom. The value obtained for the relative energy among the computed polymorphs is 0.10 eV/f.u. The total DFT energy (no corrections) comes out at -3.582 eV per atom. For the density of states at the Fermi level, the calculation gives 5.3 states/eV/cell.



Here is an optimized crystal structure of Ti4AlPt from Alexandria via LeMat-Bulk. Energies are from PBE.

Cell lengths 9.4929, 9.4929, 5.3556 Å; angles 90.00, 90.00, 153.35 degrees
Last column: nearest neighbours and their distance in Å.
Fractional positions:
Ti 0.0478 0.9522 0.5000  2 Pt 2.53-2.70, 1 Ti 2.72
Ti 0.1948 0.8052 0.4760  7 Ti 2.62-2.80, 2 Al 2.81
Ti 0.2276 0.7724 0.9738  1 Pt 2.56, 4 Ti 2.62-2.76
Ti 0.3659 0.6341 0.7264  2 Al 2.64-2.72, 2 Pt 2.68, 3 Ti 2.80-2.88
Ti 0.6341 0.3659 0.2264  2 Al 2.64-2.72, 2 Pt 2.68, 3 Ti 2.80-2.88
Ti 0.7724 0.2276 0.4738  1 Pt 2.56, 4 Ti 2.62-2.76
Ti 0.8052 0.1948 0.9760  7 Ti 2.62-2.80, 2 Al 2.81
Ti 0.9522 0.0478 0.0000  2 Pt 2.53-2.70, 1 Ti 2.72
Al 0.3694 0.6306 0.2186  7 Ti 2.64-2.93, 2 Pt 2.72
Al 0.6306 0.3694 0.7186  7 Ti 2.64-2.93, 2 Pt 2.72
Pt 0.0888 0.9112 0.9833  5 Ti 2.53-2.70, 2 Al 2.72
Pt 0.9112 0.0888 0.4833  5 Ti 2.53-2.70, 2 Al 2.72

## Properties
Its spin magnetization is 0.044 μB/atom. As for the space group: Cmc2_1. The value obtained for the relative energy among the computed polymorphs is 0.45 eV/f.u. The total DFT energy (no corrections) comes out at -7.125 eV per atom. For the density of states at the Fermi level, the calculation gives 14.8 states/eV/cell. The value obtained for the formation energy is -5.33 kcal/mol of atoms.



Here is an optimized crystal structure of TbTm2NpP4 from Alexandria via LeMat-Bulk. Energies are from PBE.

Cell lengths 6.8604, 3.9624, 6.8721 Å; angles 90.00, 109.35, 90.00 degrees
Last column: nearest neighbours and their distance in Å.
Fractional positions:
Tb 0.0000 0.0000 0.0000  6 P 2.82
Tm 0.5000 0.0000 0.5000  6 P 2.78-2.79
Tm 0.5000 0.5000 0.0000  6 P 2.81-2.82
Np 0.0000 0.5000 0.5000  6 P 2.78-2.80
P 0.2505 0.0000 0.7470  3 Tm 2.78-2.81, 2 Np 2.80, 1 Tb 2.82
P 0.2516 0.5000 0.2552  1 Np 2.78, 3 Tm 2.79-2.82, 2 Tb 2.82
P 0.7484 0.5000 0.7448  1 Np 2.78, 3 Tm 2.79-2.82, 2 Tb 2.82
P 0.7495 0.0000 0.2530  3 Tm 2.78-2.81, 2 Np 2.80, 1 Tb 2.82

## Properties
Its spin magnetization is 0.453 μB/atom. As for the space group: P2/m. The total DFT energy (no corrections) comes out at -7.433 eV per atom. For the density of states at the Fermi level, the calculation gives 9.9 states/eV/cell. The value obtained for the formation energy is -32.61 kcal/mol of atoms.



Here is an optimized crystal structure of KBeBi2 from Alexandria via LeMat-Bulk. Energies are from PBE.

Cell lengths 9.1040, 9.1040, 9.1040 Å; angles 141.61, 141.61, 55.42 degrees
Last column: nearest neighbours and their distance in Å.
Fractional positions:
K 0.0000 0.0000 0.0000  4 Bi 3.44
K 0.7500 0.2500 0.5000  4 Bi 3.44
Be 0.2500 0.7500 0.5000  4 Bi 2.59
Be 0.5000 0.5000 0.0000  4 Bi 2.59
Bi 0.2689 0.6250 0.1439  2 Be 2.59
Bi 0.3750 0.5189 0.6439  2 Be 2.59
Bi 0.4811 0.1250 0.8561  2 Be 2.59
Bi 0.8750 0.7311 0.3561  2 Be 2.59

## Properties
Its spin magnetization is 0.000 μB/atom. As for the space group: I-42d. The total DFT energy (no corrections) comes out at -3.004 eV per atom. For the density of states at the Fermi level, the calculation gives 2.1 states/eV/cell. The value obtained for the formation energy is 3.28 kcal/mol of atoms.



Here is an optimized crystal structure of In3AgOs from Alexandria via LeMat-Bulk. Energies are from PBE.

Cell lengths 5.1713, 5.1713, 5.1713 Å; angles 90.00, 90.00, 90.00 degrees
Last column: nearest neighbours and their distance in Å.
Fractional positions:
In 0.0000 0.0000 0.5000  2 Os 2.59
In 0.0000 0.5000 0.0000  2 Os 2.59
In 0.5000 0.0000 0.0000  2 Os 2.59
Ag 0.5000 0.5000 0.5000  12 In 3.66
Os 0.0000 0.0000 0.0000  6 In 2.59

## Properties
Its spin magnetization is 0.000 μB/atom. As for the space group: Pm-3m. The value obtained for the relative energy among the computed polymorphs is 0.00 eV/f.u. The total DFT energy (no corrections) comes out at -4.042 eV per atom. For the density of states at the Fermi level, the calculation gives 3.7 states/eV/cell. The value obtained for the formation energy is 9.63 kcal/mol of atoms.



Here is an optimized crystal structure of AcPrRu from Alexandria via LeMat-Bulk. Energies are from PBE.

Cell lengths 4.2520, 4.2520, 6.5042 Å; angles 90.00, 90.00, 120.00 degrees
Last column: nearest neighbours and their distance in Å.
Fractional positions:
Ac 0.0000 0.0000 0.0000  3 Ru 2.91
Pr 0.6667 0.3333 0.4666  3 Ru 2.86
Ru 0.3333 0.6667 0.2412  3 Pr 2.86, 3 Ac 2.91

## Properties
Its spin magnetization is 0.000 μB/atom. As for the space group: P3m1. The value obtained for the relative energy among the computed polymorphs is 0.03 eV/f.u. The total DFT energy (no corrections) comes out at -6.174 eV per atom. For the density of states at the Fermi level, the calculation gives 1.0 states/eV/cell. The value obtained for the formation energy is -2.75 kcal/mol of atoms.



Here is an optimized crystal structure of SiAg2Pb from Alexandria via LeMat-Bulk. Energies are from PBE.

Cell lengths 4.7613, 4.7613, 6.2376 Å; angles 107.40, 107.40, 41.17 degrees
Last column: nearest neighbours and their distance in Å.
Fractional positions:
Si 0.0000 0.0000 0.0000  5 Ag 2.57-2.67
Ag 0.2709 0.2709 0.9287  3 Si 2.57-2.59
Ag 0.5046 0.5046 0.6679  2 Si 2.67, 2 Ag 2.94
Pb 0.7178 0.7178 0.3782  3 Ag 3.01-3.11, 2 Si 3.04, 2 Pb 3.35

## Properties
Its spin magnetization is 0.000 μB/atom. As for the space group: Cm. The value obtained for the formation energy (no corrections) is 0.270 eV per atom. The value obtained for the relative energy among the computed polymorphs is 0.01 eV/f.u. The total DFT energy (no corrections) comes out at -3.438 eV per atom. For the density of states at the Fermi level, the calculation gives 1.2 states/eV/cell.



Here is an optimized crystal structure of Sr2AlPd2 from Alexandria via LeMat-Bulk. Energies are from PBE.

Cell lengths 9.7496, 9.7496, 9.7496 Å; angles 157.35, 157.35, 32.25 degrees
Last column: nearest neighbours and their distance in Å.
Fractional positions:
Sr 0.1185 0.1185 0.0000  4 Pd 3.12
Sr 0.8815 0.8815 0.0000  4 Pd 3.12
Al 0.5000 0.5000 0.0000  8 Sr 3.50, 4 Al 3.83
Pd 0.2500 0.7500 0.5000  4 Pd 2.71
Pd 0.7500 0.2500 0.5000  4 Pd 2.71

## Properties
Its spin magnetization is 0.055 μB/atom. As for the space group: I4/mmm. The total DFT energy (no corrections) comes out at -3.688 eV per atom. For the density of states at the Fermi level, the calculation gives 4.2 states/eV/cell. The value obtained for the formation energy is -4.37 kcal/mol of atoms.



Here is an optimized crystal structure of HoBP2O8 from Alexandria via LeMat-Bulk. Energies are from PBE.

Cell lengths 4.8620, 4.8620, 6.1103 Å; angles 90.00, 90.00, 120.00 degrees
Last column: nearest neighbours and their distance in Å.
Fractional positions:
Ho 0.0000 0.0000 0.0000  6 O 2.40
B 0.0000 0.0000 0.5000  6 O 1.69
P 0.3333 0.6667 0.2568  4 O 1.54
P 0.6667 0.3333 0.7432  4 O 1.54
O 0.1577 0.3154 0.3280  1 P 1.54, 1 B 1.69
O 0.1577 0.8423 0.3280  1 P 1.54, 1 B 1.69
O 0.3154 0.1577 0.6720  1 P 1.54, 1 B 1.69
O 0.3333 0.6667 0.0049  1 P 1.54
O 0.6667 0.3333 0.9951  1 P 1.54
O 0.6846 0.8423 0.3280  1 P 1.54, 1 B 1.69
O 0.8423 0.1577 0.6720  1 P 1.54, 1 B 1.69
O 0.8423 0.6846 0.6720  1 P 1.54, 1 B 1.69

## Properties
Its spin magnetization is 0.000 μB/atom. As for the space group: P-3m1. The value obtained for the formation energy (no corrections) is -2.220 eV per atom. The total DFT energy (no corrections) comes out at -7.365 eV per atom. For the density of states at the Fermi level, the calculation gives 0.0 states/eV/cell.